# CsPrNO | the Open Quantum Materials Database | PBE-GGA | relaxed
data_CsPrNO
_cell_length_a 3.907
_cell_length_b 8.035
_cell_length_c 6.905
_cell_angle_alpha 90.00
_cell_angle_beta 90.00
_cell_angle_gamma 90.00
_space_group_name_H-M_alt 'P m c 21'
_space_group_IT_number 26
_space_group_name_Hall 'P 2c -2'
loop_
_atom_site_label
_atom_site_fract_x
_atom_site_fract_y
_atom_site_fract_z
_atom_site_occupancy
Cs1 0.000 0.157 0.000 1
Pr1 0.500 0.347 0.494 1
N1 0.500 0.397 0.832 1
O1 0.000 0.209 0.433 1
# Uncorrected energy, eV for the cell shown: -46.466
# ΔE to the lowest computed polymorph, eV/f.u.: 0.00

=====

# ScFeCo | the Open Quantum Materials Database | PBE-GGA | relaxed
data_ScFeCo
_cell_length_a 4.878
_cell_length_b 4.988
_cell_length_c 6.818
_cell_angle_alpha 90.00
_cell_angle_beta 90.00
_cell_angle_gamma 90.00
_space_group_name_H-M_alt 'I m m a'
_space_group_IT_number 74
_space_group_name_Hall '-I 2b 2'
loop_
_atom_site_label
_atom_site_fract_x
_atom_site_fract_y
_atom_site_fract_z
_atom_site_occupancy
Sc1 0.000 0.250 0.126 1
Fe1 0.250 0.250 0.750 1
Co1 0.000 0.000 0.500 1
# Uncorrected energy, eV for the cell shown: -90.863
# ΔE_f, eV/f.u.: -1.0

=====

# GdHo2NiSn3Ir2 | the Open Quantum Materials Database | PBE-GGA | relaxed
data_GdHo2NiSn3Ir2
_cell_length_a 3.820
_cell_length_b 13.007
_cell_length_c 7.506
_cell_angle_alpha 90.00
_cell_angle_beta 90.00
_cell_angle_gamma 90.00
_space_group_name_H-M_alt 'A m m 2'
_space_group_IT_number 38
_space_group_name_Hall 'A 2 -2'
loop_
_atom_site_label
_atom_site_fract_x
_atom_site_fract_y
_atom_site_fract_z
_atom_site_occupancy
Gd1 0.000 0.000 0.000 1
Ho1 0.000 0.203 0.608 1
Ni1 0.000 0.000 0.406 1
Sn1 0.500 0.000 0.661 1
Sn2 0.500 0.128 0.278 1
Ir1 0.500 0.167 0.906 1
# Uncorrected energy, eV for the cell shown: -112.480

=====

# AgPdSO | the Open Quantum Materials Database | PBE-GGA | relaxed
data_AgPdSO
_cell_length_a 6.810
_cell_length_b 9.541
_cell_length_c 7.603
_cell_angle_alpha 90.00
_cell_angle_beta 90.00
_cell_angle_gamma 90.00
_space_group_name_H-M_alt 'P b c a'
_space_group_IT_number 61
_space_group_name_Hall '-P 2ac 2ab'
loop_
_atom_site_label
_atom_site_fract_x
_atom_site_fract_y
_atom_site_fract_z
_atom_site_occupancy
Ag1 0.236 0.023 0.008 1
Pd1 0.001 0.218 0.250 1
S1 0.004 0.534 0.764 1
O1 0.250 0.218 0.392 1
# Uncorrected energy, eV for the cell shown: -138.848
# ΔE to the lowest computed polymorph, eV/f.u.: 0.45

=====

# TbLuPb4 | the Open Quantum Materials Database | PBE-GGA | relaxed
data_TbLuPb4
_cell_length_a 3.294
_cell_length_b 6.305
_cell_length_c 19.210
_cell_angle_alpha 90.00
_cell_angle_beta 90.00
_cell_angle_gamma 90.00
_space_group_name_H-M_alt 'A m m 2'
_space_group_IT_number 38
_space_group_name_Hall 'A 2 -2'
loop_
_atom_site_label
_atom_site_fract_x
_atom_site_fract_y
_atom_site_fract_z
_atom_site_occupancy
Tb1 0.000 0.000 0.000 1
Lu1 0.000 0.000 0.180 1
Pb1 0.000 0.000 0.346 1
Pb2 0.000 0.000 0.509 1
Pb3 0.000 0.000 0.676 1
Pb4 0.000 0.000 0.836 1
# Uncorrected energy, eV for the cell shown: -45.114

=====

# Nb2NiMo | the Open Quantum Materials Database | PBE-GGA | relaxed
data_Nb2NiMo
_cell_length_a 6.328
_cell_length_b 6.328
_cell_length_c 6.328
_cell_angle_alpha 90.00
_cell_angle_beta 90.00
_cell_angle_gamma 90.00
_space_group_name_H-M_alt 'F -4 3 m'
_space_group_IT_number 216
_space_group_name_Hall 'F -4 2 3'
loop_
_atom_site_label
_atom_site_fract_x
_atom_site_fract_y
_atom_site_fract_z
_atom_site_occupancy
Nb1 0.000 0.000 0.000 1
Nb2 0.250 0.250 0.250 1
Ni1 0.000 0.000 0.500 1
Mo1 0.250 0.250 0.750 1
# Uncorrected energy, eV for the cell shown: -144.513
# ΔE_f, eV/f.u.: 0.5

=====

# AgPtS6 | the Open Quantum Materials Database | PBE-GGA | relaxed
data_AgPtS6
_cell_length_a 8.697
_cell_length_b 8.697
_cell_length_c 8.697
_cell_angle_alpha 90.00
_cell_angle_beta 90.00
_cell_angle_gamma 90.00
_space_group_name_H-M_alt 'F -4 3 m'
_space_group_IT_number 216
_space_group_name_Hall 'F -4 2 3'
loop_
_atom_site_label
_atom_site_fract_x
_atom_site_fract_y
_atom_site_fract_z
_atom_site_occupancy
Ag1 0.000 0.000 0.000 1
Pt1 0.250 0.250 0.750 1
S1 0.026 0.250 0.250 1
# Uncorrected energy, eV for the cell shown: -114.255

=====

# Lu2Nb4Fe3N3 | the Open Quantum Materials Database | PBE-GGA | relaxed
data_Lu2Nb4Fe3N3
_cell_length_a 9.376
_cell_length_b 5.414
_cell_length_c 13.643
_cell_angle_alpha 90.00
_cell_angle_beta 103.28
_cell_angle_gamma 90.00
_space_group_name_H-M_alt 'C 1 2/c 1'
_space_group_IT_number 15
_space_group_name_Hall '-C 2yc'
loop_
_atom_site_label
_atom_site_fract_x
_atom_site_fract_y
_atom_site_fract_z
_atom_site_occupancy
Lu1 0.042 0.083 0.379 1
Nb1 0.113 0.413 0.590 1
Nb2 0.222 0.417 0.910 1
Fe1 0.000 0.420 0.750 1
Fe2 0.247 0.162 0.750 1
N1 0.081 0.242 0.000 1
N2 0.250 0.250 0.500 1
# Uncorrected energy, eV for the cell shown: -429.850